Here is NdHgPdPt after structural relaxation from Alexandria via LeMat-Bulk. Energies are from PBE-GGA.

a b c (Å): 6.9310 6.9310 6.9310
angles (deg): 90.00 90.00 90.00
Closest atoms and distances in Å follow each position.
Space group F-43m (No. 216)
Asymmetric unit:
Nd (0.0000, 0.0000, 0.0000) x4  4 Pt 3.00, 4 Pd 3.00
Hg (0.0000, 0.0000, 0.5000) x4  4 Pd 3.00, 4 Pt 3.00
Pd (0.2500, 0.2500, 0.2500) x4  4 Hg 3.00, 4 Nd 3.00
Pt (0.2500, 0.2500, 0.7500) x4  4 Hg 3.00, 4 Nd 3.00

Values from the calculation:
* energy relative to the elements: -0.6477 eV/atom
* calculated volume: 20.810 Å³ per atom

Here is LaRh2ClF after structural relaxation from Alexandria via LeMat-Bulk. Energies are from PBE-GGA.

a b c (Å): 4.1816 4.1816 5.3110
angles (deg): 90.00 90.00 90.00
Closest atoms and distances in Å follow each position.
Space group P4/mmm (No. 123)
Asymmetric unit:
La (0.0000, 0.0000, 0.0000) x1  4 Cl 2.96
Rh (0.0000, 0.5000, 0.5000) x2  2 F 2.09
Cl (0.5000, 0.5000, 0.0000) x1  2 F 2.66, 4 La 2.96
F (0.5000, 0.5000, 0.5000) x1  4 Rh 2.09

Values from the calculation:
* energy relative to the elements, uncorrected: -0.6680 eV per atom
* calculated volume: 18.573 Å³ per atom

Here is LaHoOs after structural relaxation from Alexandria via LeMat-Bulk. Energies are from PBE-GGA.

a b c (Å): 6.8913 6.8913 6.8913
angles (deg): 90.00 90.00 90.00
Closest atoms and distances in Å follow each position.
Space group F-43m (No. 216)
Asymmetric unit:
La (0.0000, 0.0000, 0.0000) x4  4 Os 2.98
Ho (0.0000, 0.0000, 0.5000) x4  4 Os 2.98
Os (0.2500, 0.2500, 0.7500) x4  4 La 2.98, 4 Ho 2.98

Values from the calculation:
* energy relative to the elements: -0.1533 eV/atom
* energy above the most stable polymorph in this dataset: 0.0000 eV/atom
* calculated volume: 27.272 Å³ per atom

Here is GaAgRu3 after structural relaxation from Alexandria via LeMat-Bulk. Energies are from PBE-GGA.

a b c (Å): 4.5620 4.5620 4.5620
angles (deg): 90.00 90.00 90.00
Closest atoms and distances in Å follow each position.
Space group Pm-3m (No. 221)
Asymmetric unit:
Ga (0.0000, 0.0000, 0.0000) x1  6 Ru 2.28
Ag (0.5000, 0.5000, 0.5000) x1  12 Ru 3.23
Ru (0.0000, 0.0000, 0.5000) x3  2 Ga 2.28

Values from the calculation:
* energy relative to the elements: 1.3768 eV/atom
* energy above the most stable polymorph in this dataset: 0.0000 eV/atom
* calculated volume: 18.989 Å³ per atom

Here is TiTl after structural relaxation from Alexandria via LeMat-Bulk. Energies are from PBE-GGA.

a b c (Å): 3.0930 3.0738 9.3987
angles (deg): 90.00 99.45 90.00
Closest atoms and distances in Å follow each position.
Space group P2_1/m (No. 11)
Asymmetric unit:
Ti (0.2020, 0.2500, 0.4030) x2  8 Ti 2.82-3.09
Tl (0.4212, 0.2500, 0.8450) x2  6 Tl 3.07-3.26, 4 Ti 3.17

Values from the calculation:
* energy relative to the elements: 0.1592 eV/atom
* calculated volume: 22.036 Å³ per atom

Here is Cs3RbCr2Br8 after structural relaxation from Alexandria via LeMat-Bulk. Energies are from PBE-GGA.

a b c (Å): 8.2506 8.2506 10.4337
angles (deg): 90.00 90.00 120.00
Closest atoms and distances in Å follow each position.
Space group P-3m1 (No. 164)
Asymmetric unit:
Cs (0.0000, 0.0000, 0.0000) x1  6 Br 4.03
Cs (0.3333, 0.6667, 0.6186) x2  1 Br 3.51
Rb (0.0000, 0.0000, 0.5000) x1  6 Br 3.28
Cr (0.3333, 0.6667, 0.1895) x2  4 Br 2.45-2.51
Br (0.1771, 0.3542, 0.3000) x6  1 Cr 2.51
Br (0.3333, 0.6667, 0.9551) x2  1 Cr 2.45

Values from the calculation:
* energy relative to the elements, uncorrected: -1.2111 eV per atom
* calculated volume: 43.935 Å³ per atom

no.,uncorrected energy (eV for the cell shown),total moment (μB/f.u.)
1,-75.58,0.0
2,-26.69,0.0
3,-84.78,0.0
4,-26.82,3.4
5,-19.89,0.0
6,-53.11,8.0